[1]
{"formula": "KNaGaPt2", "functional": "PBE", "state": "relaxed", "density_g_cm3": 6.93, "total_energy_ev_per_cell": -13.665, "spacegroup": "P4/mmm, No. 123", "ef_ev_per_atom": 0.772, "lattice": [[5.011, 0.000, 0.000], [0.000, 4.982, 0.000], [0.000, 0.000, 5.011]], "species": ["K", "Na", "Pt", "Pt", "Ga"], "fractional_positions": [[0.000, 0.500, 0.000], [0.000, 0.000, 0.000], [0.000, 0.000, 0.500], [0.500, 0.000, 0.000], [0.500, 0.500, 0.500]]}

[2]
{"formula": "K2NaGaPt", "functional": "PBE", "state": "relaxed", "density_g_cm3": 3.15, "total_energy_ev_per_cell": -13.119, "spacegroup": "P4/mmm, No. 123", "ef_ev_per_atom": -0.108, "lattice": [[-0.232, -1.974, -5.978], [-5.451, -2.931, 1.179], [-2.429, 4.021, -1.234]], "species": ["K", "K", "Ga", "Pt", "Na"], "fractional_positions": [[0.000, 0.500, 0.000], [0.500, 0.000, 0.000], [0.000, 0.000, 0.500], [0.000, 0.000, 0.000], [0.500, 0.500, 0.500]]}

[3]
{"formula": "KNa2GaPt", "functional": "PBE", "state": "relaxed", "density_g_cm3": 3.80, "total_energy_ev_per_cell": -13.940, "spacegroup": "P4/mmm, No. 123", "ef_ev_per_atom": -0.227, "lattice": [[-0.617, -5.531, 0.788], [3.866, 0.150, 4.078], [-3.469, 0.851, 3.258]], "species": ["Pt", "Na", "Na", "K", "Ga"], "fractional_positions": [[0.000, 0.000, 0.000], [0.500, 0.000, 0.000], [0.000, 0.500, 0.000], [0.500, 0.500, 0.500], [0.000, 0.000, 0.500]]}

[4]
{"formula": "KRbNa2Ga", "functional": "PBE", "state": "relaxed", "density_g_cm3": 1.65, "de_polymorph_mev_per_atom": 0.0, "total_energy_ev_per_cell": -7.285, "spacegroup": "P4/mmm, No. 123", "ef_ev_per_atom": 0.089, "lattice": [[-0.401, -1.091, 5.956], [-4.719, -3.685, -0.992], [4.111, -5.088, -0.655]], "species": ["Rb", "K", "Na", "Na", "Ga"], "fractional_positions": [[0.500, 0.500, 0.500], [0.000, 0.000, 0.500], [0.500, 0.000, 0.000], [0.000, 0.500, 0.000], [0.000, 0.000, 0.000]]}

[5]
{"formula": "KRb2NaGa", "functional": "PBE", "state": "relaxed", "density_g_cm3": 1.67, "total_energy_ev_per_cell": -6.692, "spacegroup": "P4/mmm, No. 123", "ef_ev_per_atom": 0.137, "lattice": [[-6.553, -0.551, 2.525], [-1.621, -4.484, -5.185], [1.733, -4.653, 3.482]], "species": ["Rb", "Rb", "Ga", "K", "Na"], "fractional_positions": [[0.000, 0.500, 0.000], [0.500, 0.000, 0.000], [0.000, 0.000, 0.000], [0.500, 0.500, 0.500], [0.000, 0.000, 0.500]]}

[6]
{"formula": "KRbNa2Ga", "functional": "PBE", "state": "relaxed", "density_g_cm3": 1.61, "de_polymorph_mev_per_atom": 28.9, "total_energy_ev_per_cell": -7.140, "spacegroup": "P4/mmm, No. 123", "ef_ev_per_atom": 0.118, "lattice": [[6.074, 0.000, 0.000], [0.000, 6.074, 0.000], [0.000, 0.000, 6.738]], "species": ["Rb", "K", "Na", "Na", "Ga"], "fractional_positions": [[0.000, 0.000, 0.500], [0.500, 0.500, 0.500], [0.000, 0.500, 0.000], [0.500, 0.000, 0.000], [0.000, 0.000, 0.000]]}

[7]
{"formula": "KNaGaSb", "functional": "PBE", "state": "relaxed", "density_g_cm3": 3.63, "total_energy_ev_per_cell": -10.347, "spacegroup": "F-43m, No. 216", "formation_energy_uncorrected_kcal_per_mol_atoms": -4.50, "lattice": [[-5.021, -2.165, -0.242], [-0.777, -5.262, 1.291], [-2.634, -1.326, 4.611]], "species": ["Sb", "Na", "K", "Ga"], "fractional_positions": [[0.000, 0.000, 0.000], [0.750, 0.750, 0.750], [0.500, 0.500, 0.500], [0.250, 0.250, 0.250]]}

[8]
{"formula": "KNa2Ga2Sb2", "functional": "PBE", "state": "relaxed", "density_g_cm3": 3.76, "total_energy_ev_per_cell": -19.749, "spacegroup": "R-3m, No. 166", "formation_energy_uncorrected_kcal_per_mol_atoms": -5.65, "lattice": [[-4.697, 1.133, -1.323], [-3.812, -1.201, 3.020], [-2.034, 8.395, 4.927]], "species": ["Sb", "Sb", "Na", "Na", "Ga", "Ga", "K"], "fractional_positions": [[0.752, 0.752, 0.743], [0.248, 0.248, 0.257], [0.861, 0.861, 0.416], [0.139, 0.139, 0.584], [0.449, 0.449, 0.652], [0.551, 0.551, 0.348], [0.000, 0.000, 0.000]]}